Material: Ce4Dy3YS8
Method: DFT, GGA-PBE
State: relaxed

The calculation puts the uncorrected formation energy at -2031 meV/atom. Its density of states at the Fermi level is 64.902 states/eV/cell. The magnetic moment comes out at 0.171 μB/atom.

The space group is R-3m (No. 166, hexagonal axes) and the conventional cell measures 7.8991, 7.8991 and 19.5986 Å, with angles of 90.00, 90.00 and 120.00 degrees. The distinct sites, in fractional coordinates, are Ce at (0.0000, 0.0000, 0.0000), Ce at (0.0000, 0.5000, 0.0000), Dy at (0.0000, 0.5000, 0.5000), Y at (0.0000, 0.0000, 0.5000), S at (0.0000, 0.0000, 0.2461) and S at (0.9995, 0.4998, 0.2462).